The following is a DFT calculation (GGA-PBE) of crystalline Re2Sn2Rh at its relaxed geometry.

Values from the calculation:
- calculated total energy (eV/atom) = -7.489
- M_tot (μB per atom) = 0.000
- E_form (eV/atom) = 0.56
- mass density (g/cm³) = 11.93

a b c (Å): 3.497 3.497 8.484
angles (deg): 78.11 78.11 90.00
Sites, in units of the cell vectors:
Re 0.250 0.750 0.500
Re 0.750 0.250 0.500
Sn 0.600 0.600 0.800
Sn 0.400 0.400 0.200
Rh 0.000 0.000 0.000